Record 1
Below is a geometry-optimized NaLaNbCo structure, with properties calculated at the PBE level.

Results
* E above lowest polymorph: 0 kJ/mol of formula units

Unit cell a=4.8741 b=4.8741 c=4.8741 alpha=60.00 beta=60.00 gamma=60.00
With the nearest neighbours (Å) after each atom.
Atoms (fractional coordinates):
La: 0.5000 0.5000 0.5000  4 Na 2.98, 4 Co 2.98
Na: 0.7500 0.7500 0.7500  4 La 2.98, 4 Nb 2.98
Nb: 0.0000 0.0000 0.0000  4 Na 2.98, 4 Co 2.98
Co: 0.2500 0.2500 0.2500  4 La 2.98, 4 Nb 2.98

Record 2
Below is a geometry-optimized NaLaNbCo structure, with properties calculated at the PBE level.

Results
* E above lowest polymorph: 13 kJ/mol of formula units

Unit cell a=4.8002 b=4.8002 c=4.8002 alpha=60.00 beta=60.00 gamma=60.00
With the nearest neighbours (Å) after each atom.
Atoms (fractional coordinates):
Na: 0.7500 0.7500 0.7500  4 Co 2.94, 4 La 2.94
Co: 0.0000 0.0000 0.0000  4 Nb 2.94, 4 Na 2.94
La: 0.5000 0.5000 0.5000  4 Na 2.94, 4 Nb 2.94
Nb: 0.2500 0.2500 0.2500  4 Co 2.94, 4 La 2.94